Material: TcBPb3
Method: DFT, PBE-GGA
State: relaxed

The calculated formation energy comes out at 1.296 eV/atom. As for the energy above the most stable polymorph in this dataset: 0.026 eV/atom. The density of states at the Fermi level is 4.4 states/eV per cell. Its total energy is -4.34 eV per atom. The size of the total moment is 0.6430 μB per atom.

It has space group Pm-3m (No. 221), with a = 4.9821 Å, b = 4.9821 Å, c = 4.9821 Å, α = 90.00°, β = 90.00° and γ = 90.00°. The inequivalent atoms are Tc at (0.0000, 0.0000, 0.0000), B at (0.5000, 0.5000, 0.5000) and Pb at (0.0000, 0.5000, 0.5000).

---

Material: NaVP2
Method: DFT, PBE-GGA
State: relaxed

The calculated formation energy comes out at 0.072 eV/atom. As for the energy above the most stable polymorph in this dataset: 0.469 eV/atom. The density of states at the Fermi level is 22.4 states/eV per cell. Its total energy is -5.24 eV per atom. The size of the total moment is 0.4695 μB per atom.

It has space group Fm-3m (No. 225), with a = 6.2736 Å, b = 6.2736 Å, c = 6.2736 Å, α = 90.00°, β = 90.00° and γ = 90.00°. The inequivalent atoms are Na at (0.0000, 0.0000, 0.0000), V at (0.0000, 0.0000, 0.5000) and P at (0.2500, 0.2500, 0.2500).

---

Material: MnAgTeSe2
Method: DFT, PBE-GGA
State: relaxed

For the raw formation energy, the calculation gives 421 meV/atom. The density of states at the Fermi level is 4.4 states/eV per cell. Its total energy is -4.00 eV per atom. The size of the total moment is 0.0004 μB per atom.

It has space group P4/mmm (No. 123), with a = 4.5135 Å, b = 4.5135 Å, c = 5.4529 Å, α = 90.00°, β = 90.00° and γ = 90.00°. The inequivalent atoms are Mn at (0.0000, 0.0000, 0.0000), Ag at (0.0000, 0.0000, 0.5000), Te at (0.5000, 0.5000, 0.5000) and Se at (0.0000, 0.5000, 0.0000).

---

Material: AsSe2IN
Method: DFT, PBE-GGA
State: relaxed

For the raw formation energy, the calculation gives 1408 meV/atom. As for the energy above the most stable polymorph in this dataset: 0.485 eV/atom. The density of states at the Fermi level is 2.1 states/eV per cell. Its total energy is -2.89 eV per atom. The size of the total moment is 0.0000 μB per atom.

It has space group P4/mmm (No. 123), with a = 5.4953 Å, b = 5.4953 Å, c = 3.9112 Å, α = 90.00°, β = 90.00° and γ = 90.00°. The inequivalent atoms are As at (0.0000, 0.0000, 0.0000), Se at (0.0000, 0.5000, 0.5000), I at (0.5000, 0.5000, 0.5000) and N at (0.5000, 0.5000, 0.0000).

---

Question: Which of these has the lowest total energy?
Answer: NaVP2

---

Question: Among the records above, which one has the lowest size of the total moment?
Answer: AsSe2IN